# CoAgRu2 | Alexandria via LeMat-Bulk | GGA-PBE | optimized geometry
# Energy of formation from the pure elements (eV per formula unit): 2.2
# Total magnetization (μB/f.u.): 2.62
# Mass density (Mg/m³): 10.64
# V (Å³ per cell): 57.6
data_CoAgRu2
_cell_length_a 2.6971
_cell_length_b 4.1605
_cell_length_c 5.2510
_cell_angle_alpha 90.00
_cell_angle_beta 102.38
_cell_angle_gamma 90.00
_space_group_name_H-M_alt 'P 1 2/m 1'
_space_group_IT_number 10
loop_
_space_group_symop_operation_xyz
'x,y,z'
'-x,-y,-z'
'-x,y,-z'
'x,-y,z'
loop_
_atom_site_label
_atom_site_fract_x
_atom_site_fract_y
_atom_site_fract_z
Co1 0.0000 0.0000 0.0000
Ag1 0.0000 0.0000 0.5000
Ru1 0.3791 0.5000 0.2258

# CeNpTe3 | Alexandria via LeMat-Bulk | GGA-PBE | optimized geometry
# Total magnetization (μB/f.u.): 5.00
# Uncorrected formation energy (eV/atom): -0.928
# Mass density (Mg/m³): 6.72
# V (Å³ per cell): 751.3
data_CeNpTe3
_cell_length_a 16.2383
_cell_length_b 4.4944
_cell_length_c 12.2571
_cell_angle_alpha 90.00
_cell_angle_beta 122.88
_cell_angle_gamma 90.00
_space_group_name_H-M_alt 'C 1 2/m 1'
_space_group_IT_number 12
loop_
_space_group_symop_operation_xyz
'x,y,z'
'-x,-y,-z'
'-x,y,-z'
'x,-y,z'
'x+1/2,y+1/2,z'
'-x+1/2,-y+1/2,-z'
'-x+1/2,y+1/2,-z'
'x+1/2,-y+1/2,z'
loop_
_atom_site_label
_atom_site_fract_x
_atom_site_fract_y
_atom_site_fract_z
Ce1 0.1173 0.0000 0.3390
Np1 0.2462 0.5000 0.8411
Te1 0.1184 0.0000 0.8537
Te2 0.1216 0.5000 0.1612
Te3 0.1495 0.5000 0.5382

# AcPm2Zn2Ga2 | Alexandria via LeMat-Bulk | GGA-PBE | optimized geometry
# Energy of formation from the pure elements (eV per formula unit): -2.7
# Total magnetization (μB/f.u.): 0.00
# Mass density (Mg/m³): 7.34
# V (Å³ per cell): 534.0
data_AcPm2Zn2Ga2
_cell_length_a 4.5462
_cell_length_b 4.5462
_cell_length_c 29.8323
_cell_angle_alpha 90.00
_cell_angle_beta 90.00
_cell_angle_gamma 120.00
_space_group_name_H-M_alt 'R -3 m'
_space_group_IT_number 166
_space_group_name_Hall '-R 3 2"'
loop_
_atom_site_label
_atom_site_fract_x
_atom_site_fract_y
_atom_site_fract_z
Ac1 0.0000 0.0000 0.0000
Pm1 0.0000 0.0000 0.1299
Zn1 0.0000 0.0000 0.4094
Ga1 0.0000 0.0000 0.2558

# NdSm4Dy2Mg | Alexandria via LeMat-Bulk | GGA-PBE | optimized geometry
# Energy of formation from the pure elements (eV per formula unit): 0.6
# Total magnetization (μB/f.u.): 0.00
# Mass density (Mg/m³): 7.07
# V (Å³ per cell): 257.3
data_NdSm4Dy2Mg
_cell_length_a 5.8337
_cell_length_b 5.8337
_cell_length_c 7.5593
_cell_angle_alpha 90.00
_cell_angle_beta 90.00
_cell_angle_gamma 90.00
_space_group_name_H-M_alt 'P 4/m m m'
_space_group_IT_number 123
_space_group_name_Hall '-P 4 2'
loop_
_atom_site_label
_atom_site_fract_x
_atom_site_fract_y
_atom_site_fract_z
Nd1 0.0000 0.0000 0.0000
Sm1 0.0000 0.5000 0.2430
Dy1 0.0000 0.0000 0.5000
Dy2 0.5000 0.5000 0.5000
Mg1 0.5000 0.5000 0.0000

What did we get for energy? Answer: -26.26 -131.76 -74.82 -33.83 eV per cell, in the order shown.
What did we get for DOS at the Fermi energy? Answer: 6.71 61.39 13.54 13.51 states/eV/cell, in the order shown.